This record from Alexandria via LeMat-Bulk describes BePdNO2 after structural relaxation. The functional is PBE.

Properties
Volume   44 Å³/cell
Uncorrected energy   -5.160 eV per atom
ρ   6.07 g/cm³

Unit cell a=3.3281 b=3.3281 c=3.9890 alpha=90.00 beta=90.00 gamma=90.00
Space group P4/mmm (No. 123)
Inequivalent atoms, fractional coordinates:
Be: 0.0000 0.0000 0.0000 x1
Pd: 0.5000 0.5000 0.5000 x1
N: 0.0000 0.0000 0.5000 x1
O: 0.0000 0.5000 0.0000 x2

=====

This record from Alexandria via LeMat-Bulk describes Tm4Pd3Pt2 after structural relaxation. The functional is PBE.

Properties
Volume   360 Å³/cell
Uncorrected energy   -6.072 eV per atom
ρ   12.79 g/cm³
ΔE_f   -1.0111 eV/atom

Unit cell a=8.4889 b=4.6211 c=9.1965 alpha=90.00 beta=94.33 gamma=90.00
Space group C2/m (No. 12)
Inequivalent atoms, fractional coordinates:
Tm: 0.0247 0.0000 0.3333 x4
Tm: 0.1588 0.5000 0.8865 x4
Pd: 0.0000 0.0000 0.0000 x2
Pd: 0.1610 0.5000 0.5358 x4
Pt: 0.1805 0.5000 0.2061 x4

=====

This record from Alexandria via LeMat-Bulk describes K3InGa after structural relaxation. The functional is PBE.

Properties
Volume   273 Å³/cell
Uncorrected energy   -1.490 eV per atom
ρ   1.84 g/cm³
Distance to the lowest polymorph of the same formula   0.000 eV/atom
ΔE_f   0.3213 eV/atom

Unit cell a=6.4862 b=6.4862 c=6.4862 alpha=90.00 beta=90.00 gamma=90.00
Space group Pm-3m (No. 221)
Inequivalent atoms, fractional coordinates:
K: 0.0000 0.0000 0.5000 x3
In: 0.5000 0.5000 0.5000 x1
Ga: 0.0000 0.0000 0.0000 x1

=====

This record from Alexandria via LeMat-Bulk describes Ce2DySb2 after structural relaxation. The functional is PBE.

Properties
Volume   628 Å³/cell
Uncorrected energy   -5.667 eV per atom
ρ   7.26 g/cm³

Unit cell a=4.4773 b=11.6001 c=12.0823 alpha=90.00 beta=90.00 gamma=90.00
Space group Cmc2_1 (No. 36)
Inequivalent atoms, fractional coordinates:
Ce: 0.0000 0.0558 0.0000 x4
Ce: 0.0000 0.3302 0.2148 x4
Dy: 0.0000 0.3543 0.8762 x4
Sb: 0.0000 0.0237 0.2522 x4
Sb: 0.0000 0.2441 0.5282 x4

=====

This record from Alexandria via LeMat-Bulk describes TbPrNp2S4 after structural relaxation. The functional is PBE.

Properties
Volume   176 Å³/cell
Uncorrected energy   -8.145 eV per atom
ρ   8.49 g/cm³

Unit cell a=6.8261 b=3.9708 c=6.9140 alpha=90.00 beta=109.65 gamma=90.00
Space group P2/m (No. 10)
Inequivalent atoms, fractional coordinates:
Tb: 0.0000 0.0000 0.0000 x1
Pr: 0.0000 0.5000 0.5000 x1
Np: 0.5000 0.0000 0.5000 x1
Np: 0.5000 0.5000 0.0000 x1
S: 0.2552 0.5000 0.2464 x2
S: 0.2606 0.0000 0.7617 x2

=====

This record from Alexandria via LeMat-Bulk describes Mg2InTc after structural relaxation. The functional is PBE.

Properties
Volume   147 Å³/cell
Uncorrected energy   -3.936 eV per atom
ρ   5.90 g/cm³
ΔE_f   0.1375 eV/atom

Unit cell a=4.0197 b=4.0197 c=9.1145 alpha=90.00 beta=90.00 gamma=90.00
Space group I4/mmm (No. 139)
Inequivalent atoms, fractional coordinates:
Mg: 0.0000 0.5000 0.2500 x4
In: 0.0000 0.0000 0.0000 x2
Tc: 0.0000 0.0000 0.5000 x2